Tl3PIr after structural relaxation, computed with PBE-GGA.

Unit cell a=5.2918 b=5.2918 c=5.2918 alpha=90.00 beta=90.00 gamma=90.00
Last column: magnetic moment on the atom in μB.
Fractional positions:
Tl 0.0000 0.0000 0.5000  -0.01
Tl 0.0000 0.5000 0.0000  0.03
Tl 0.5000 0.0000 0.0000  0.02
Ir 0.0000 0.0000 0.0000  0.12
P 0.5000 0.5000 0.5000  0.62

Properties
total magnetic moment = 0.320 μB/atom
total DFT energy (no corrections) = -18.67 eV/cell
space group = Pm-3m
energy of formation = 0.540 eV/atom
E above lowest polymorph = 0 meV per atom
ρ = 9.37 g/cm³

***

Al2CdMo after structural relaxation, computed with PBE-GGA.

Unit cell a=7.1505 b=7.1505 c=5.8059 alpha=51.99 beta=51.99 gamma=90.00
Fractional positions:
Mo 0.2500 0.7500 0.5000
Mo 0.5000 0.5000 0.0000
Al 0.6208 0.1250 0.2500
Al 0.3750 0.3792 0.7500
Al 0.8750 0.8708 0.7500
Al 0.1292 0.6250 0.2500
Cd 0.7500 0.2500 0.5000
Cd 0.0000 0.0000 0.0000

Properties
total magnetic moment = 0.000 μB/atom
total DFT energy (no corrections) = -34.49 eV/cell
space group = I-42d
energy of formation = 0.497 eV/atom
ρ = 5.97 g/cm³

***

NaTiI2O after structural relaxation, computed with PBE-GGA.

Unit cell a=5.6723 b=5.6723 c=4.1262 alpha=90.00 beta=90.00 gamma=90.00
Last column: magnetic moment on the atom in μB.
Fractional positions:
O 0.0000 0.0000 0.5000  0.01
I 0.0000 0.5000 0.0000  -0.04
I 0.5000 0.0000 0.0000  -0.04
Ti 0.5000 0.5000 0.5000  1.80
Na 0.0000 0.0000 0.0000  0.00

Properties
total magnetic moment = 0.413 μB/atom
total DFT energy (no corrections) = -16.30 eV/cell
space group = P4/mmm
E above lowest polymorph = 1579 meV per atom
formation energy from raw total energies = 194 meV per atom
ρ = 4.26 g/cm³